1.
A relaxed structure of SnSbH. Source: the Alexandria database, functional GGA-PBE.

Cell lengths 4.2939, 4.2939, 15.4762 Å; angles 90.00, 90.00, 90.00 degrees
Last column: nearest neighbours and their distance in Å.
Sites, in units of the cell vectors:
H1 0.5000 0.5000 0.7315  1 Sn 1.79
Sb1 0.0000 0.0000 0.4080  1 H 2.73, 1 Sb 2.85, 4 Sn 3.06
Sb2 0.5000 0.5000 0.0920  1 H 2.73, 1 Sb 2.85, 4 Sn 3.06
Sn1 0.0000 0.0000 0.1161  1 H 1.79
H2 0.0000 0.0000 0.2315  1 Sn 1.79
Sb3 0.0000 0.0000 0.5920  1 H 2.73, 1 Sb 2.85, 4 Sn 3.06
H3 0.5000 0.5000 0.2685  1 Sn 1.79
Sn2 0.0000 0.0000 0.8839  1 H 1.79
Sb4 0.5000 0.5000 0.9080  1 H 2.73, 1 Sb 2.85, 4 Sn 3.06
H4 0.0000 0.0000 0.7685  1 Sn 1.79
Sn3 0.5000 0.5000 0.6161  1 H 1.79
Sn4 0.5000 0.5000 0.3839  1 H 1.79

Properties
Excess energy over the best structure of this formula in the dataset (meV per atom): 98.8
Size of the total moment (Bohr magnetons per cell): 0.0
Symmetry: I4/mmm, No. 139

2.
A relaxed structure of SnSbTe2H. Source: the Alexandria database, functional GGA-PBE.

Cell lengths 5.5730, 5.5730, 3.8980 Å; angles 90.00, 90.00, 90.00 degrees
Last column: nearest neighbours and their distance in Å.
Sites, in units of the cell vectors:
H1 0.0000 0.0000 0.0000  2 Sb 1.95
Sn1 0.5000 0.5000 0.5000  8 Te 3.40
Te1 0.0000 0.5000 0.0000  2 H 2.79
Sb1 0.0000 0.0000 0.5000  2 H 1.95
Te2 0.5000 0.0000 0.0000  2 H 2.79

Properties
Excess energy over the best structure of this formula in the dataset (meV per atom): 0.0
Size of the total moment (Bohr magnetons per cell): 0.0
Symmetry: P4/mmm, No. 123

3.
A relaxed structure of SnSb2TeH. Source: the Alexandria database, functional GGA-PBE.

Cell lengths 4.5173, 4.5173, 5.8966 Å; angles 90.00, 90.00, 90.00 degrees
Last column: nearest neighbours and their distance in Å.
Sites, in units of the cell vectors:
Sb1 0.0000 0.5000 0.0000  2 H 2.26
H1 0.0000 0.0000 0.0000  4 Sb 2.26
Sn1 0.5000 0.5000 0.5000  4 Te 3.19
Sb2 0.5000 0.0000 0.0000  2 H 2.26
Te1 0.0000 0.0000 0.5000  2 H 2.95, 4 Sn 3.19

Properties
Excess energy over the best structure of this formula in the dataset (meV per atom): 0.0
Size of the total moment (Bohr magnetons per cell): 0.0
Symmetry: P4/mmm, No. 123